No. 1
Computed, not measured: crystalline CdFeNi6 at its relaxed geometry at the PBE level of DFT.

Values from the calculation:
Volume (A^3/atom): 12.0
Energy of formation from the pure elements (eV per atom): 0.03

a = 7.249 Å, b = 10.307 Å, c = 10.317 Å
α = 90.00°, β = 90.00°, γ = 90.00°
Space group Cmmm (No. 65)
Inequivalent atoms, fractional coordinates:
Cd: 0.000 0.000 0.248 x4
Cd: 0.000 0.244 0.500 x4
Fe: 0.000 0.248 0.000 x4
Fe: 0.000 0.500 0.247 x4
Ni: 0.000 0.000 0.000 x2
Ni: 0.000 0.000 0.500 x2
Ni: 0.000 0.256 0.239 x8
Ni: 0.000 0.500 0.000 x2
Ni: 0.000 0.500 0.500 x2
Ni: 0.238 0.378 0.367 x16
Ni: 0.242 0.372 0.119 x16

***

No. 2
Computed, not measured: crystalline Dy5TmAl4 at its relaxed geometry at the PBE level of DFT.

Values from the calculation:
Volume (A^3/atom): 25.0
Energy of formation from the pure elements (eV per atom): -0.31

a = 3.569 Å, b = 3.569 Å, c = 19.595 Å
α = 90.00°, β = 90.00°, γ = 90.00°
Space group P4/mmm (No. 123)
Inequivalent atoms, fractional coordinates:
Dy: 0.000 0.000 0.000 x1
Dy: 0.000 0.000 0.187 x2
Dy: 0.000 0.000 0.374 x2
Tm: 0.500 0.500 0.500 x1
Al: 0.500 0.500 0.093 x2
Al: 0.500 0.500 0.281 x2

***

No. 3
Computed, not measured: crystalline In2PdAu6 at its relaxed geometry at the PBE level of DFT.

Values from the calculation:
E above lowest polymorph (meV per atom): 0
Volume (A^3/atom): 18.4
Energy of formation from the pure elements (eV per atom): -0.16

a = 9.746 Å, b = 4.158 Å, c = 8.850 Å
α = 90.00°, β = 112.22°, γ = 90.00°
Space group C2/m (No. 12)
Inequivalent atoms, fractional coordinates:
In: 0.159 0.000 0.216 x4
Pd: 0.000 0.500 0.000 x2
Au: 0.006 0.500 0.669 x4
Au: 0.168 0.000 0.554 x4
Au: 0.168 0.000 0.892 x4

***

No. 4
Computed, not measured: crystalline Ba2AlAs2 at its relaxed geometry at the PBE level of DFT.

Values from the calculation:
E above lowest polymorph (meV per atom): 193
Volume (A^3/atom): 31.0
Energy of formation from the pure elements (eV per atom): -0.68

a = 7.995 Å, b = 7.995 Å, c = 4.847 Å
α = 90.00°, β = 90.00°, γ = 90.00°
Space group P4/mbm (No. 127)
Inequivalent atoms, fractional coordinates:
Ba: 0.182 0.318 0.000 x4
Al: 0.000 0.000 0.500 x2
As: 0.112 0.612 0.500 x4

***

What is the energy of formation from the pure elements in the first record?
0.03 eV per atom

***

What is the volume in the fourth record?
31.0 A^3/atom

***

The highest energy of formation from the pure elements belongs to which entry?
CdFeNi6